1.
Er2Si4Ni3Au after structural relaxation. Source: the Alexandria database, functional PBE.

a = 4.008 Å, b = 4.008 Å, c = 9.685 Å
α = 90.00°, β = 90.00°, γ = 90.00°
Element x y z (fractional)
Er: 0.500 0.000 0.240
Er: 0.000 0.500 0.760
Si: 0.500 0.500 0.000
Si: 0.000 0.000 0.000
Si: 0.500 0.000 0.648
Si: 0.000 0.500 0.352
Ni: 0.000 0.000 0.500
Ni: 0.500 0.000 0.881
Ni: 0.000 0.500 0.119
Au: 0.500 0.500 0.500

Summary:
electronic total energy	-59.1	eV for the cell shown
volume	156	Å³/cell



2.
ScSiOsO2 after structural relaxation. Source: the Alexandria database, functional PBE.

a = 3.789 Å, b = 6.215 Å, c = 3.789 Å
α = 90.00°, β = 90.00°, γ = 90.00°
Each line ends with the local moment (μB).
Element x y z (fractional)
Sc: 0.000 0.000 0.000  -0.01
Si: 0.500 0.500 0.500  -0.04
Os: 0.000 0.500 0.000  1.57
O: 0.000 0.000 0.500  -0.18
O: 0.500 0.000 0.000  -0.14

Summary:
electronic total energy	-34.2	eV for the cell shown
volume	89	Å³/cell



3.
CeS after structural relaxation. Source: the Alexandria database, functional PBE.

a = 4.018 Å, b = 4.018 Å, c = 4.018 Å
α = 60.00°, β = 60.00°, γ = 60.00°
Each line ends with the local moment (μB).
Element x y z (fractional)
S: 0.500 0.500 0.500  -0.02
Ce: 0.000 0.000 0.000  0.48

Summary:
electronic total energy	-14.2	eV for the cell shown
volume	46	Å³/cell



4.
Cr2CuIr after structural relaxation. Source: the Alexandria database, functional PBE.

a = 4.494 Å, b = 4.494 Å, c = 4.494 Å
α = 130.19°, β = 130.19°, γ = 73.10°
Each line ends with the local moment (μB).
Element x y z (fractional)
Cr: 0.000 0.000 0.000  -1.36
Cr: 0.250 0.750 0.500  2.34
Cu: 0.500 0.500 0.000  0.10
Ir: 0.750 0.250 0.500  0.25

Summary:
electronic total energy	-31.9	eV for the cell shown
volume	52	Å³/cell



Q: The highest volume belongs to which entry?
A: Er2Si4Ni3Au



Q: Which value of volume does entry 4 give?
A: 52 Å³/cell